Compound: InCoBO4
Source: the Alexandria database
Functional: PBE+U
Structure: relaxed

As for the energy: -176.88 eV/cell.

The structure belongs to space group Imma (No. 74); the cell edges are 5.646, 5.871 and 8.122 Å and the angles 90.00°, 90.00° and 90.00°. The inequivalent atoms are In at (0.000, 0.000, 0.000), Co at (0.250, 0.250, 0.250), B at (0.000, 0.250, 0.626), O at (0.000, 0.029, 0.729) and O at (0.218, 0.250, 0.512).

Compound: InCo2BO
Source: the Alexandria database
Functional: PBE+U
Structure: relaxed

Its density of states at the Fermi level is 1.815 states/eV/cell. As for the energy: -22.13 eV/cell.

The structure belongs to space group P4/mmm (No. 123); the cell edges are 3.852, 3.852 and 4.078 Å and the angles 90.00°, 90.00° and 90.00°. The inequivalent atoms are In at (0.000, 0.000, 0.000), Co at (0.000, 0.500, 0.500), B at (0.500, 0.500, 0.500) and O at (0.500, 0.500, 0.000).

> The lowest energy belongs to which entry?

InCoBO4

What did the second record say?
Compound: InCo2BO
Source: the Alexandria database
Functional: PBE+U
Structure: relaxed

Its density of states at the Fermi level is 1.815 states/eV/cell. As for the energy: -22.13 eV/cell.

The structure belongs to space group P4/mmm (No. 123); the cell edges are 3.852, 3.852 and 4.078 Å and the angles 90.00°, 90.00° and 90.00°. The inequivalent atoms are In at (0.000, 0.000, 0.000), Co at (0.000, 0.500, 0.500), B at (0.500, 0.500, 0.500) and O at (0.500, 0.500, 0.000).